First-principles (GGA+U) data for crystalline K3TaCo2O6 at its relaxed geometry, as listed in Alexandria via LeMat-Bulk.

* spin magnetization: 6.00 μB per formula unit
* electronic total energy: -6.33 eV/atom
* V: 161.34 Å³ per cell
* symmetry: No. 12

a b c (Å): 5.5422 5.5422 6.3528
angles (deg): 97.96 97.96 120.56
Last column: nearest neighbours and their distance in Å.
Fractional coordinates of all 12 atoms:
K 0.8253 0.1747 0.5000  6 O 2.65-2.74
K 0.5000 0.5000 0.5000  6 O 2.65-2.74
Ta 0.0000 0.0000 0.0000  6 O 2.02-2.04
Co 0.6676 0.3325 0.0000  6 O 2.16-2.24
O 0.2455 0.2455 0.8144  1 Ta 2.02, 2 Co 2.24
O 0.0643 0.3724 0.1778  1 Ta 2.04, 2 Co 2.16-2.22
O 0.9357 0.6276 0.8222  1 Ta 2.04, 2 Co 2.16-2.22
K 0.1747 0.8253 0.5000  6 O 2.65-2.74
O 0.6276 0.9357 0.8222  1 Ta 2.04, 2 Co 2.16-2.22
O 0.7545 0.7545 0.1856  1 Ta 2.02, 2 Co 2.24
Co 0.3325 0.6676 0.0000  6 O 2.16-2.24
O 0.3724 0.0643 0.1778  1 Ta 2.04, 2 Co 2.16-2.22